[1]
# Li2SbH | the Alexandria database | PBE-GGA | optimized geometry
# Energy above the most stable polymorph in this dataset   0.0940 eV per atom
data_Li2SbH
_chemical_formula_sum 'Li8 Sb4 H4'
_symmetry_space_group_name_H-M 'I -4 2 d'
_symmetry_Int_Tables_number 122
_symmetry_space_group_name_Hall 'I -4 2bw'
_cell_length_a 5.680
_cell_length_b 5.680
_cell_length_c 7.827
_cell_angle_alpha 90.00
_cell_angle_beta 90.00
_cell_angle_gamma 90.00
loop_
_atom_site_label
_atom_site_type_symbol
_atom_site_fract_x
_atom_site_fract_y
_atom_site_fract_z
Li1 Li 0.048 0.750 0.125
Sb1 Sb 0.000 0.000 0.500
H1 H 0.000 0.000 0.000

[2]
# VFeSn | the Alexandria database | PBE-GGA | optimized geometry
# Energy relative to the elements   0.08 eV per atom
data_VFeSn
_chemical_formula_sum 'V4 Fe4 Sn4'
_symmetry_space_group_name_H-M 'F -4 3 m'
_symmetry_Int_Tables_number 216
_symmetry_space_group_name_Hall 'F -4 2 3'
_cell_length_a 5.882
_cell_length_b 5.882
_cell_length_c 5.882
_cell_angle_alpha 90.00
_cell_angle_beta 90.00
_cell_angle_gamma 90.00
loop_
_atom_site_label
_atom_site_type_symbol
_atom_site_fract_x
_atom_site_fract_y
_atom_site_fract_z
V1 V 0.000 0.000 0.000
Fe1 Fe 0.250 0.250 0.250
Sn1 Sn 0.000 0.000 0.500

[3]
# NaCdBr4 | the Alexandria database | PBE-GGA | optimized geometry
# Formation energy without anion corrections   -4.9 eV/f.u.
data_NaCdBr4
_chemical_formula_sum 'Na1 Cd1 Br4'
_symmetry_space_group_name_H-M 'P 1 2/m 1'
_symmetry_Int_Tables_number 10
_cell_length_a 6.143
_cell_length_b 4.306
_cell_length_c 7.767
_cell_angle_alpha 90.00
_cell_angle_beta 102.31
_cell_angle_gamma 90.00
loop_
_symmetry_equiv_pos_as_xyz
'x,y,z'
'-x,-y,-z'
'-x,y,-z'
'x,-y,z'
loop_
_atom_site_label
_atom_site_type_symbol
_atom_site_fract_x
_atom_site_fract_y
_atom_site_fract_z
Na1 Na 0.000 0.000 0.000
Cd1 Cd 0.000 0.500 0.500
Br1 Br 0.217 0.500 0.832
Br2 Br 0.271 0.000 0.395

[4]
# MgTlP4 | the Alexandria database | PBE-GGA | optimized geometry
# Energy relative to the elements   0.31 eV per atom
data_MgTlP4
_chemical_formula_sum 'Mg4 Tl4 P16'
_symmetry_space_group_name_H-M 'F -4 3 m'
_symmetry_Int_Tables_number 216
_symmetry_space_group_name_Hall 'F -4 2 3'
_cell_length_a 8.456
_cell_length_b 8.456
_cell_length_c 8.456
_cell_angle_alpha 90.00
_cell_angle_beta 90.00
_cell_angle_gamma 90.00
loop_
_atom_site_label
_atom_site_type_symbol
_atom_site_fract_x
_atom_site_fract_y
_atom_site_fract_z
Mg1 Mg 0.000 0.000 0.000
Tl1 Tl 0.250 0.250 0.250
P1 P 0.156 0.156 0.656

| no. | total energy (eV/atom) |
| --- | --- |
| 1 | -3.10 |
| 2 | -7.11 |
| 3 | -2.30 |
| 4 | -3.96 |